La12Nd7Sc PBE-GGA relaxed; energy of formation = 15 kJ per mole of atoms; total magnetic moment = 0.0 Bohr magnetons per cell; theoretical density = 6.3 g/cm3; relative energy among the computed polymorphs = 0 meV/atom
1.0
-4.075 -3.876 3.134
6.742 -7.788 -5.274
4.699 5.782 8.854
Nd La Sc
7 12 1
Direct
0.360 0.249 0.249
0.640 0.751 0.751
0.889 0.249 0.000
0.500 0.000 0.000
0.889 0.000 0.249
0.111 0.751 0.000
0.111 0.000 0.751
0.908 0.408 0.815
0.435 0.000 0.355
0.907 0.815 0.407
0.565 0.000 0.645
0.920 0.355 0.355
0.500 0.407 0.592
0.093 0.185 0.593
0.565 0.645 0.000
0.500 0.593 0.408
0.092 0.592 0.185
0.080 0.645 0.645
0.435 0.355 0.000
0.000 0.000 0.000